Entry 1:
LiHfIr2: relaxed, GGA-PBE.

Values from the calculation:
crystal system	tetragonal
ΔE to the lowest computed polymorph	0	meV/atom
space group	No. 123
E_form	-0.679	eV per atom

a = 3.190 Å, b = 3.190 Å, c = 5.958 Å
α = 90.00°, β = 90.00°, γ = 90.00°
Fractional coordinates of all 4 atoms:
Ir 0.000 0.000 0.235
Ir 0.000 0.000 0.765
Hf 0.500 0.500 0.500
Li 0.500 0.500 0.000

***

Entry 2:
AgS: relaxed, GGA-PBE.

Values from the calculation:
formation energy from raw total energies	209	meV/atom
crystal system	orthorhombic
space group	No. 70

a = 4.427 Å, b = 13.832 Å, c = 12.746 Å
α = 90.00°, β = 90.00°, γ = 90.00°
Fractional coordinates of all 32 atoms:
Ag 0.250 0.250 0.396
Ag 0.250 0.750 0.896
Ag 0.750 0.750 0.104
Ag 0.000 0.000 0.354
Ag 0.250 0.250 0.104
Ag 0.000 0.500 0.854
Ag 0.000 0.500 0.146
Ag 0.500 0.500 0.354
Ag 0.250 0.750 0.604
Ag 0.750 0.750 0.396
Ag 0.500 0.500 0.646
Ag 0.750 0.250 0.896
Ag 0.750 0.250 0.604
Ag 0.000 0.000 0.646
Ag 0.500 0.000 0.146
Ag 0.500 0.000 0.854
S 0.000 0.620 0.000
S 0.500 0.880 0.000
S 0.250 0.370 0.250
S 0.000 0.120 0.500
S 0.750 0.130 0.750
S 0.250 0.130 0.250
S 0.750 0.870 0.250
S 0.250 0.870 0.750
S 0.500 0.380 0.500
S 0.000 0.380 0.000
S 0.500 0.120 0.000
S 0.250 0.630 0.750
S 0.750 0.370 0.750
S 0.750 0.630 0.250
S 0.000 0.880 0.500
S 0.500 0.620 0.500

***

Entry 3:
MgSeOF2: relaxed, GGA-PBE.

Values from the calculation:
formation energy from raw total energies	-1529	meV/atom
crystal system	tetragonal
ΔE to the lowest computed polymorph	0	meV/atom
space group	No. 123

a = 3.719 Å, b = 3.719 Å, c = 4.671 Å
α = 90.00°, β = 90.00°, γ = 90.00°
Site moments in Bohr magnetons follow the coordinates.
Fractional coordinates of all 5 atoms:
F 0.000 0.500 0.000  0.07
F 0.500 0.000 0.000  0.07
Se 0.500 0.500 0.500  0.73
O 0.000 0.000 0.500  -0.01
Mg 0.000 0.000 0.000  0.00

***

Entry 4:
BeFe4Os: relaxed, GGA-PBE.

Values from the calculation:
crystal system	cubic
space group	No. 216
E_form	0.242	eV per atom

a = 4.634 Å, b = 4.634 Å, c = 4.634 Å
α = 60.00°, β = 60.00°, γ = 60.00°
Site moments in Bohr magnetons follow the coordinates.
Fractional coordinates of all 6 atoms:
Os 0.250 0.250 0.250  0.47
Fe 0.625 0.126 0.625  1.91
Fe 0.625 0.625 0.625  1.91
Fe 0.625 0.625 0.126  1.91
Fe 0.126 0.625 0.625  1.91
Be 0.000 0.000 0.000  -0.05

***

Entry 5:
Ti2Ru2Pt: relaxed, GGA-PBE.

Values from the calculation:
crystal system	tetragonal
space group	No. 127
E_form	-0.425	eV per atom

a = 7.077 Å, b = 7.077 Å, c = 3.073 Å
α = 90.00°, β = 90.00°, γ = 90.00°
Fractional coordinates of all 10 atoms:
Ti 0.670 0.830 0.500
Ti 0.170 0.670 0.500
Ti 0.330 0.170 0.500
Ti 0.830 0.330 0.500
Ru 0.867 0.633 0.000
Ru 0.367 0.867 0.000
Ru 0.133 0.367 0.000
Ru 0.633 0.133 0.000
Pt 0.000 0.000 0.000
Pt 0.500 0.500 0.000

***

Entry 6:
DyLu2Zr: relaxed, GGA-PBE.

Values from the calculation:
crystal system	tetragonal
ΔE to the lowest computed polymorph	0	meV/atom
space group	No. 123
E_form	0.076	eV per atom

a = 4.804 Å, b = 4.801 Å, c = 4.801 Å
α = 90.00°, β = 90.00°, γ = 90.00°
Fractional coordinates of all 4 atoms:
Lu 0.000 0.500 0.000
Lu 0.000 0.000 0.500
Dy 0.500 0.500 0.500
Zr 0.500 0.000 0.000

***

| no. | E (eV/f.u.) |
| --- | --- |
| 1 | -32.31 |
| 2 | -6.56 |
| 3 | -21.43 |
| 4 | -47.35 |
| 5 | -42.51 |
| 6 | -21.89 |